[1]
First-principles (PBE) data for a relaxed LiFeP2H crystal, as listed in Alexandria via LeMat-Bulk.

Calculated values
Raw total energy: -20.7 eV/cell
Calculated volume: 10.90 A^3/atom
DOS at the Fermi energy: 5.891 states/eV/cell

Lattice parameters (Å, degrees): 4.447 2.757 4.447 90.00 90.00 90.00
Element x y z (fractional)
P (0.000, 0.000, 0.500)
H (0.000, 0.500, 0.000)
Li (0.000, 0.000, 0.000)
P (0.500, 0.000, 0.000)
Fe (0.500, 0.500, 0.500)

[2]
First-principles (PBE) data for a relaxed Li2FeHPd crystal, as listed in Alexandria via LeMat-Bulk.

Calculated values
Raw total energy: -21.3 eV/cell
Calculated volume: 10.89 A^3/atom
DOS at the Fermi energy: 3.437 states/eV/cell

Lattice parameters (Å, degrees): 3.785 3.785 3.800 90.00 90.00 90.00
Element x y z (fractional)
H (0.000, 0.000, 0.000)
Pd (0.500, 0.500, 0.500)
Li (0.000, 0.500, 0.000)
Li (0.500, 0.000, 0.000)
Fe (0.000, 0.000, 0.500)

[3]
First-principles (PBE) data for a relaxed LiFe2HPd crystal, as listed in Alexandria via LeMat-Bulk.

Calculated values
Raw total energy: -27.6 eV/cell
Calculated volume: 10.67 A^3/atom
DOS at the Fermi energy: 2.654 states/eV/cell

Lattice parameters (Å, degrees): 3.631 3.631 4.048 90.00 90.00 90.00
Element x y z (fractional)
Fe (0.500, 0.000, 0.000)
Li (0.000, 0.000, 0.500)
Fe (0.000, 0.500, 0.000)
Pd (0.500, 0.500, 0.500)
H (0.000, 0.000, 0.000)

[4]
First-principles (PBE) data for a relaxed LiPm2FeH6 crystal, as listed in Alexandria via LeMat-Bulk.

Calculated values
Raw total energy: -43.7 eV/cell
Calculated volume: 10.05 A^3/atom
DOS at the Fermi energy: 3.836 states/eV/cell

Lattice parameters (Å, degrees): 4.771 4.931 4.931 120.00 90.00 90.00
Element x y z (fractional)
H (0.786, 0.681, 0.841)
Fe (0.000, 0.000, 0.000)
Li (0.500, 0.000, 0.000)
Pm (0.235, 0.333, 0.667)
H (0.214, 0.841, 0.159)
H (0.786, 0.159, 0.319)
Pm (0.765, 0.667, 0.333)
H (0.786, 0.159, 0.841)
H (0.214, 0.841, 0.681)
H (0.214, 0.319, 0.159)

[5]
First-principles (PBE) data for a relaxed Li2PmFeH8 crystal, as listed in Alexandria via LeMat-Bulk.

Calculated values
Raw total energy: -47.5 eV/cell
Calculated volume: 8.20 A^3/atom
DOS at the Fermi energy: 7.120 states/eV/cell

Lattice parameters (Å, degrees): 4.347 4.347 6.015 90.00 90.00 120.00
Element x y z (fractional)
Li (0.333, 0.667, 0.883)
Li (0.667, 0.333, 0.117)
H (0.166, 0.332, 0.159)
H (0.333, 0.667, 0.550)
H (0.834, 0.166, 0.841)
Pm (0.000, 0.000, 0.500)
H (0.332, 0.166, 0.841)
H (0.667, 0.333, 0.450)
H (0.166, 0.834, 0.159)
Fe (0.000, 0.000, 0.000)
H (0.834, 0.668, 0.841)
H (0.668, 0.834, 0.159)

[6]
First-principles (PBE) data for a relaxed LiFeHPt2 crystal, as listed in Alexandria via LeMat-Bulk.

Calculated values
Raw total energy: -27.0 eV/cell
Calculated volume: 11.72 A^3/atom
DOS at the Fermi energy: 2.997 states/eV/cell

Lattice parameters (Å, degrees): 3.954 3.954 3.746 90.00 90.00 90.00
Element x y z (fractional)
Fe (0.500, 0.500, 0.500)
H (0.000, 0.000, 0.000)
Pt (0.500, 0.000, 0.000)
Li (0.000, 0.000, 0.500)
Pt (0.000, 0.500, 0.000)

[7]
First-principles (PBE) data for a relaxed Li2FeHPt crystal, as listed in Alexandria via LeMat-Bulk.

Calculated values
Raw total energy: -22.7 eV/cell
Calculated volume: 10.82 A^3/atom
DOS at the Fermi energy: 2.691 states/eV/cell

Lattice parameters (Å, degrees): 3.713 3.713 3.924 90.00 90.00 90.00
Element x y z (fractional)
Pt (0.500, 0.500, 0.500)
Li (0.500, 0.000, 0.000)
Li (0.000, 0.500, 0.000)
Fe (0.000, 0.000, 0.500)
H (0.000, 0.000, 0.000)

[8]
First-principles (PBE) data for a relaxed LiFeHPt2 crystal, as listed in Alexandria via LeMat-Bulk.

Calculated values
Raw total energy: -26.7 eV/cell
Calculated volume: 11.82 A^3/atom
DOS at the Fermi energy: 2.979 states/eV/cell

Lattice parameters (Å, degrees): 3.956 3.956 3.778 90.00 90.00 90.00
Element x y z (fractional)
Pt (0.500, 0.000, 0.000)
Pt (0.000, 0.500, 0.000)
H (0.000, 0.000, 0.000)
Fe (0.000, 0.000, 0.500)
Li (0.500, 0.500, 0.500)